A relaxed LaPSO2 crystal. Source: Alexandria via LeMat-Bulk, functional PBE.

Results
* ΔE_f (raw): -2.71 eV/f.u.
* volume: 119.16 Å³ per cell

Geometry as CIF:
```
data_LaPSO2
_cell_length_a 4.1184
_cell_length_b 4.1184
_cell_length_c 7.0252
_cell_angle_alpha 90.00
_cell_angle_beta 90.00
_cell_angle_gamma 90.00
_symmetry_space_group_name_H-M 'P 4/m m m'
_symmetry_Int_Tables_number 123
_symmetry_space_group_name_Hall '-P 4 2'
loop_
_atom_site_label
_atom_site_type_symbol
_atom_site_fract_x
_atom_site_fract_y
_atom_site_fract_z
La1 La 0.0000 0.0000 0.0000
P1 P 0.0000 0.0000 0.5000
S1 S 0.5000 0.5000 0.5000
O1 O 0.0000 0.5000 0.0000
```

***

A relaxed LaSbP2O crystal. Source: Alexandria via LeMat-Bulk, functional PBE.

Results
* ΔE_f (raw): -0.17 eV/f.u.
* volume: 134.39 Å³ per cell
* relative energy among the computed polymorphs: 0.571 eV per atom

Geometry as CIF:
```
data_LaSbP2O
_cell_length_a 5.6708
_cell_length_b 5.6708
_cell_length_c 4.1791
_cell_angle_alpha 90.00
_cell_angle_beta 90.00
_cell_angle_gamma 90.00
_symmetry_space_group_name_H-M 'P 4/m m m'
_symmetry_Int_Tables_number 123
_symmetry_space_group_name_Hall '-P 4 2'
loop_
_atom_site_label
_atom_site_type_symbol
_atom_site_fract_x
_atom_site_fract_y
_atom_site_fract_z
La1 La 0.0000 0.0000 0.0000
Sb1 Sb 0.5000 0.5000 0.5000
P1 P 0.0000 0.5000 0.0000
O1 O 0.0000 0.0000 0.5000
```

***

A relaxed La3SbPO crystal. Source: Alexandria via LeMat-Bulk, functional PBE.

Results
* ΔE_f (raw): -11.54 eV/f.u.
* volume: 352.92 Å³ per cell

Geometry as CIF:
```
data_La3SbPO
_cell_length_a 8.9967
_cell_length_b 4.2928
_cell_length_c 9.3495
_cell_angle_alpha 90.00
_cell_angle_beta 102.21
_cell_angle_gamma 90.00
_symmetry_space_group_name_H-M 'P 1 21/m 1'
_symmetry_Int_Tables_number 11
loop_
_symmetry_equiv_pos_as_xyz
'x,y,z'
'-x,-y,-z'
'-x,y+1/2,-z'
'x,-y+1/2,z'
loop_
_atom_site_label
_atom_site_type_symbol
_atom_site_fract_x
_atom_site_fract_y
_atom_site_fract_z
La1 La 0.0726 0.2500 0.3388
La2 La 0.3285 0.2500 0.9790
La3 La 0.3868 0.7500 0.6476
Sb1 Sb 0.3237 0.7500 0.2734
P1 P 0.1571 0.2500 0.6580
O1 O 0.4132 0.7500 0.9085
```

***

A relaxed LaSbPO2 crystal. Source: Alexandria via LeMat-Bulk, functional PBE.

Results
* ΔE_f (raw): -4.23 eV/f.u.
* volume: 118.71 Å³ per cell
* relative energy among the computed polymorphs: 0.452 eV per atom

Geometry as CIF:
```
data_LaSbPO2
_cell_length_a 4.2366
_cell_length_b 4.2366
_cell_length_c 6.6139
_cell_angle_alpha 90.00
_cell_angle_beta 90.00
_cell_angle_gamma 90.00
_symmetry_space_group_name_H-M 'P 4/m m m'
_symmetry_Int_Tables_number 123
_symmetry_space_group_name_Hall '-P 4 2'
loop_
_atom_site_label
_atom_site_type_symbol
_atom_site_fract_x
_atom_site_fract_y
_atom_site_fract_z
La1 La 0.0000 0.0000 0.0000
Sb1 Sb 0.5000 0.5000 0.5000
P1 P 0.0000 0.0000 0.5000
O1 O 0.0000 0.5000 0.0000
```

***

no.,total DFT energy (no corrections) (eV for the cell shown)
1,-27.09
2,-24.99
3,-81.63
4,-28.60